[1]
A plane-wave DFT calculation with PBE-GGA was carried out for crystalline Sr2Mg5In3 at its relaxed geometry.

abc: 6.6638 9.8536 9.8536
angles: 82.30 70.24 70.24
Last column: nearest neighbours and their distance in Å.
Atoms (fractional coordinates):
Sr: 0.1247 0.6223 0.1282  8 Mg 3.56-3.97, 4 In 3.59-3.64
Sr: 0.6247 0.1282 0.6223  8 Mg 3.56-3.97, 4 In 3.59-3.64
Sr: 0.8753 0.3777 0.8718  8 Mg 3.56-3.97, 4 In 3.59-3.64
Sr: 0.3753 0.8718 0.3777  8 Mg 3.56-3.97, 4 In 3.59-3.64
Mg: 0.3794 0.2626 0.9787  3 In 2.84-2.95, 2 Mg 3.02
Mg: 0.8794 0.9787 0.2626  3 In 2.84-2.95, 2 Mg 3.02
Mg: 0.6206 0.7374 0.0213  3 In 2.84-2.95, 2 Mg 3.02
Mg: 0.1206 0.0213 0.7374  3 In 2.84-2.95, 2 Mg 3.02
Mg: 0.5000 0.7500 0.7500  2 In 2.94, 2 Mg 3.02
Mg: 0.5000 0.2500 0.2500  2 In 2.94, 2 Mg 3.02
Mg: 0.7500 0.5000 0.5000  4 In 2.99, 4 Mg 3.32-3.33
Mg: 0.2500 0.5000 0.5000  4 In 2.99, 4 Mg 3.32-3.33
Mg: 0.0000 0.2500 0.2500  2 In 2.94, 2 Mg 3.02
Mg: 0.0000 0.7500 0.7500  2 In 2.94, 2 Mg 3.02
In: 0.3714 0.4894 0.7677  5 Mg 2.84-2.99
In: 0.8714 0.7677 0.4894  5 Mg 2.84-2.99
In: 0.6286 0.5106 0.2323  5 Mg 2.84-2.99
In: 0.1286 0.2323 0.5106  5 Mg 2.84-2.99
In: 0.2500 0.0000 0.0000  4 Mg 2.95
In: 0.7500 0.0000 0.0000  4 Mg 2.95

Results
formation energy from the elements: -4.72 kcal/mol of atoms
polymorph energy (0 for the lowest one): 0.00 eV per formula unit
SG: Ibam, No. 72

---

[2]
A plane-wave DFT calculation with PBE-GGA was carried out for crystalline Sr6MgIn2 at its relaxed geometry.

abc: 10.0781 10.0781 10.0781
angles: 102.13 112.26 114.27
Last column: nearest neighbours and their distance in Å.
Atoms (fractional coordinates):
Sr: 0.5295 0.7139 0.8156  3 In 3.47-3.49, 1 Mg 3.75
Sr: 0.4705 0.2861 0.1844  3 In 3.47-3.49, 1 Mg 3.75
Sr: 0.1017 0.2861 0.8156  3 In 3.47-3.49, 1 Mg 3.75
Sr: 0.8983 0.7139 0.1844  3 In 3.47-3.49, 1 Mg 3.75
Sr: 0.8057 0.7541 0.5598  1 In 3.41, 1 Mg 3.80
Sr: 0.1943 0.2459 0.4402  1 In 3.41, 1 Mg 3.80
Sr: 0.1943 0.7541 0.9484  1 In 3.41, 1 Mg 3.80
Sr: 0.8057 0.2459 0.0516  1 In 3.41, 1 Mg 3.80
Sr: 0.6863 0.3476 0.6612  3 In 3.41-3.54
Sr: 0.3137 0.6524 0.3388  3 In 3.41-3.54
Sr: 0.3137 0.9749 0.6612  3 In 3.41-3.54
Sr: 0.6863 0.0251 0.3388  3 In 3.41-3.54
Mg: 0.0000 0.5000 0.5000  12 Sr 3.89-4.25
Mg: 0.0000 0.0000 0.0000  2 In 3.56, 8 Sr 3.75-3.80
In: 0.5000 0.3774 0.8774  1 In 3.11, 2 Sr 3.41
In: 0.5000 0.6226 0.1226  1 In 3.11, 2 Sr 3.41
In: 0.6827 0.0000 0.6827  8 Sr 3.41-3.54, 1 Mg 3.56
In: 0.3173 0.0000 0.3173  8 Sr 3.41-3.54, 1 Mg 3.56

Results
formation energy from the elements: -4.48 kcal/mol of atoms
SG: Immm, No. 71